No. 1
# HgOsCl2 | Alexandria | PBE-GGA | relaxed
# Energy above the lowest structure with this stoichiometry (meV per atom): 1141.6
# Formation energy (no corrections) (eV per atom): 1.224
# Total moment (μB per cell): 2.72
# N(E_F) (states/eV per atom): 1.191
# SG: F-43m
data_HgOsCl2
_cell_length_a 4.8766
_cell_length_b 4.8766
_cell_length_c 4.8766
_cell_angle_alpha 60.00
_cell_angle_beta 60.00
_cell_angle_gamma 60.00
_space_group_name_H-M_alt 'P 1'
_space_group_IT_number 1
_space_group_name_Hall 'P 1'
loop_
_atom_site_label
_atom_site_type_symbol
_atom_site_fract_x
_atom_site_fract_y
_atom_site_fract_z
Hg1 Hg 0.0000 0.0000 0.0000
Os1 Os 0.2500 0.2500 0.2500
Cl1 Cl 0.5000 0.5000 0.5000
Cl2 Cl 0.7500 0.7500 0.7500



No. 2
# HgOs4Cl | Alexandria | PBE-GGA | relaxed
# Formation energy (no corrections) (eV per atom): 1.465
# Total moment (μB per cell): 3.30
# N(E_F) (states/eV per atom): 2.018
# SG: F-43m
data_HgOs4Cl
_cell_length_a 5.3035
_cell_length_b 5.3035
_cell_length_c 5.3035
_cell_angle_alpha 60.00
_cell_angle_beta 60.00
_cell_angle_gamma 60.00
_space_group_name_H-M_alt 'P 1'
_space_group_IT_number 1
_space_group_name_Hall 'P 1'
loop_
_atom_site_label
_atom_site_type_symbol
_atom_site_fract_x
_atom_site_fract_y
_atom_site_fract_z
Hg1 Hg 0.0000 0.0000 0.0000
Os1 Os 0.1259 0.6247 0.6247
Os2 Os 0.6247 0.1259 0.6247
Os3 Os 0.6247 0.6247 0.1259
Os4 Os 0.6247 0.6247 0.6247
Cl1 Cl 0.2500 0.2500 0.2500



No. 3
# HgOsCl2 | Alexandria | PBE-GGA | relaxed
# Energy above the lowest structure with this stoichiometry (meV per atom): 889.4
# Formation energy (no corrections) (eV per atom): 0.972
# Total moment (μB per cell): 0.76
# N(E_F) (states/eV per atom): 0.869
# SG: P2/m
data_HgOsCl2
_cell_length_a 4.6988
_cell_length_b 3.0792
_cell_length_c 5.4015
_cell_angle_alpha 90.00
_cell_angle_beta 109.01
_cell_angle_gamma 90.00
_space_group_name_H-M_alt 'P 1'
_space_group_IT_number 1
_space_group_name_Hall 'P 1'
loop_
_atom_site_label
_atom_site_type_symbol
_atom_site_fract_x
_atom_site_fract_y
_atom_site_fract_z
Hg1 Hg 0.0000 0.0000 0.0000
Os1 Os 0.0000 0.5000 0.5000
Cl1 Cl 0.5000 0.0000 0.5000
Cl2 Cl 0.5000 0.5000 0.0000